Pm2CuGe: PBEsol geometry, SCAN.

- Formation enthalpy at 0 K: -0.506 eV/atom
- VASP energy: -497.1 eV for the cell shown
- SG: Fm-3m (225)

Unit cell a=7.095 b=7.095 c=7.095 alpha=90.00 beta=90.00 gamma=90.00
Fractional positions:
Pm: 0.250 0.250 0.250
Pm: 0.250 0.250 0.750
Pm: 0.250 0.750 0.250
Pm: 0.250 0.750 0.750
Pm: 0.750 0.250 0.250
Pm: 0.750 0.250 0.750
Pm: 0.750 0.750 0.250
Pm: 0.750 0.750 0.750
Cu: 0.000 0.000 0.000
Cu: 0.000 0.500 0.500
Cu: 0.500 0.000 0.500
Cu: 0.500 0.500 0.000
Ge: 0.000 0.000 0.500
Ge: 0.000 0.500 0.000
Ge: 0.500 0.000 0.000
Ge: 0.500 0.500 0.500



CuGe2Pt: PBEsol geometry, SCAN.

- Formation enthalpy at 0 K: 0.014 eV/atom
- VASP energy: -494.0 eV for the cell shown
- SG: Fm-3m (225)

Unit cell a=6.214 b=6.214 c=6.214 alpha=90.00 beta=90.00 gamma=90.00
Fractional positions:
Cu: 0.000 0.000 0.000
Cu: 0.000 0.500 0.500
Cu: 0.500 0.000 0.500
Cu: 0.500 0.500 0.000
Ge: 0.250 0.250 0.250
Ge: 0.250 0.250 0.750
Ge: 0.250 0.750 0.250
Ge: 0.250 0.750 0.750
Ge: 0.750 0.250 0.250
Ge: 0.750 0.250 0.750
Ge: 0.750 0.750 0.250
Ge: 0.750 0.750 0.750
Pt: 0.000 0.000 0.500
Pt: 0.000 0.500 0.000
Pt: 0.500 0.000 0.000
Pt: 0.500 0.500 0.500



SrCu2GePt: PBEsol geometry, SCAN.

- Formation enthalpy at 0 K: 0.463 eV/atom
- VASP energy: -139.6 eV for the cell shown
- SG: P4/mmm (123)

Unit cell a=4.734 b=4.734 c=5.398 alpha=90.00 beta=90.00 gamma=90.00
Fractional positions:
Sr: 0.000 0.000 0.000
Cu: 0.000 0.500 0.500
Cu: 0.500 0.000 0.500
Ge: 0.500 0.500 0.000
Pt: 0.000 0.000 0.500



SrCuRe2Ge: PBEsol geometry, SCAN.

- Formation enthalpy at 0 K: 1.562 eV/atom
- VASP energy: -190.9 eV for the cell shown
- SG: P4/mmm (123)

Unit cell a=4.564 b=4.564 c=5.413 alpha=90.00 beta=90.00 gamma=90.00
Fractional positions:
Sr: 0.000 0.000 0.000
Cu: 0.500 0.500 0.000
Re: 0.000 0.500 0.500
Re: 0.500 0.000 0.500
Ge: 0.000 0.000 0.500



CuGe2Rh: PBEsol geometry, SCAN.

- Formation enthalpy at 0 K: -0.038 eV/atom
- VASP energy: -349.2 eV for the cell shown
- SG: Fm-3m (225)

Unit cell a=6.076 b=6.076 c=6.076 alpha=90.00 beta=90.00 gamma=90.00
Fractional positions:
Cu: 0.000 0.000 0.000
Cu: 0.000 0.500 0.500
Cu: 0.500 0.000 0.500
Cu: 0.500 0.500 0.000
Ge: 0.250 0.250 0.250
Ge: 0.250 0.250 0.750
Ge: 0.250 0.750 0.250
Ge: 0.250 0.750 0.750
Ge: 0.750 0.250 0.250
Ge: 0.750 0.250 0.750
Ge: 0.750 0.750 0.250
Ge: 0.750 0.750 0.750
Rh: 0.000 0.000 0.500
Rh: 0.000 0.500 0.000
Rh: 0.500 0.000 0.000
Rh: 0.500 0.500 0.500



CuSiGe2Ru: PBEsol geometry, SCAN.

- VASP energy: -92.5 eV for the cell shown
- SG: P4/mmm (123)

Unit cell a=4.635 b=4.635 c=4.179 alpha=90.00 beta=90.00 gamma=90.00
Fractional positions:
Cu: 0.000 0.000 0.000
Si: 0.000 0.000 0.500
Ge: 0.000 0.500 0.500
Ge: 0.500 0.000 0.500
Ru: 0.500 0.500 0.000



Cu6GeWS8: PBEsol geometry, SCAN.

- VASP energy: -528.7 eV for the cell shown
- SG: P6_3mc (186)

Unit cell a=7.443 b=7.443 c=12.234 alpha=90.00 beta=90.00 gamma=120.00
Fractional positions:
Cu: 0.006 0.503 0.000
Cu: 0.162 0.323 0.249
Cu: 0.162 0.838 0.249
Cu: 0.323 0.162 0.749
Cu: 0.497 0.503 0.000
Cu: 0.497 0.994 0.000
Cu: 0.503 0.006 0.500
Cu: 0.503 0.497 0.500
Cu: 0.677 0.838 0.249
Cu: 0.838 0.162 0.749
Cu: 0.838 0.677 0.749
Cu: 0.994 0.497 0.500
Ge: 0.000 0.000 0.001
Ge: 0.000 0.000 0.501
W: 0.333 0.667 0.373
W: 0.667 0.333 0.873
S: 0.000 0.000 0.317
S: 0.000 0.000 0.817
S: 0.003 0.502 0.312
S: 0.166 0.332 0.064
S: 0.166 0.834 0.064
S: 0.332 0.166 0.564
S: 0.333 0.667 0.557
S: 0.498 0.502 0.312
S: 0.498 0.997 0.312
S: 0.502 0.003 0.812
S: 0.502 0.498 0.812
S: 0.667 0.333 0.057
S: 0.668 0.834 0.064
S: 0.834 0.166 0.564
S: 0.834 0.668 0.564
S: 0.997 0.498 0.812



TaCuGe2Sb: PBEsol geometry, SCAN.

- VASP energy: -152.7 eV for the cell shown
- SG: P4/mmm (123)

Unit cell a=4.918 b=4.918 c=4.819 alpha=90.00 beta=90.00 gamma=90.00
Fractional positions:
Ta: 0.000 0.000 0.000
Cu: 0.000 0.000 0.500
Ge: 0.000 0.500 0.000
Ge: 0.500 0.000 0.000
Sb: 0.500 0.500 0.500



Please write out number 2 again, unchanged.
CuGe2Pt: PBEsol geometry, SCAN.

- Formation enthalpy at 0 K: 0.014 eV/atom
- VASP energy: -494.0 eV for the cell shown
- SG: Fm-3m (225)

Unit cell a=6.214 b=6.214 c=6.214 alpha=90.00 beta=90.00 gamma=90.00
Fractional positions:
Cu: 0.000 0.000 0.000
Cu: 0.000 0.500 0.500
Cu: 0.500 0.000 0.500
Cu: 0.500 0.500 0.000
Ge: 0.250 0.250 0.250
Ge: 0.250 0.250 0.750
Ge: 0.250 0.750 0.250
Ge: 0.250 0.750 0.750
Ge: 0.750 0.250 0.250
Ge: 0.750 0.250 0.750
Ge: 0.750 0.750 0.250
Ge: 0.750 0.750 0.750
Pt: 0.000 0.000 0.500
Pt: 0.000 0.500 0.000
Pt: 0.500 0.000 0.000
Pt: 0.500 0.500 0.500



Q: What is the formula in the eighth record?
A: TaCuGe2Sb



Q: Which of these has the highest VASP energy?
A: CuSiGe2Ru